Here is a relaxed structure of Li4Pd2Au from the Alexandria database. Energies are from GGA-PBE.

a b c (Å): 5.958 5.958 6.180
angles (deg): 90.00 90.00 90.00
Space group I4/mmm (No. 139)
Asymmetric unit:
Li 0.250 0.250 0.250 x8
Pd 0.000 0.500 0.000 x4
Au 0.000 0.000 0.000 x2

## Properties
- ΔE_f (eV/f.u.) = -2.88
- ρ (kg/m³) = 6625
- energy above the most stable polymorph in this dataset (eV per atom) = 0.0000
- VASP energy (hartree per atom) = -0.1270